1.
# PBE RbAs2SeF, optimized geometry
data_RbAs2SeF
_symmetry_space_group_name_H-M 'P 1'
_symmetry_Int_Tables_number 1
_symmetry_space_group_name_Hall 'P 1'
_cell_length_a 7.252
_cell_length_b 7.252
_cell_length_c 6.641
_cell_angle_alpha 90.00
_cell_angle_beta 90.00
_cell_angle_gamma 90.00
loop_
_atom_site_label
_atom_site_fract_x
_atom_site_fract_y
_atom_site_fract_z
_atom_site_occupancy
Rb1 0.000 0.000 0.000 1
As1 0.000 0.500 0.000 1
As2 0.500 0.000 0.000 1
Se1 0.000 0.000 0.500 1
F1 0.500 0.500 0.500 1
# Energy above the lowest structure with this stoichiometry (eV/atom): 1.320
# Uncorrected formation energy (eV/atom): 1.125
# Energy (eV per atom): -2.00
# Mass density (Mg/m³): 1.58

2.
# PBE AsPb2W, optimized geometry
data_AsPb2W
_symmetry_space_group_name_H-M 'P 1'
_symmetry_Int_Tables_number 1
_symmetry_space_group_name_Hall 'P 1'
_cell_length_a 3.056
_cell_length_b 4.836
_cell_length_c 6.130
_cell_angle_alpha 90.00
_cell_angle_beta 90.00
_cell_angle_gamma 90.00
loop_
_atom_site_label
_atom_site_fract_x
_atom_site_fract_y
_atom_site_fract_z
_atom_site_occupancy
As1 0.000 0.000 0.000 1
Pb1 0.500 0.500 0.255 1
Pb2 0.500 0.500 0.745 1
W1 0.000 0.000 0.500 1
# Energy (eV per atom): -5.29
# Mass density (Mg/m³): 12.34

3.
# PBE PuNpPdRh, optimized geometry
data_PuNpPdRh
_symmetry_space_group_name_H-M 'P 1'
_symmetry_Int_Tables_number 1
_symmetry_space_group_name_Hall 'P 1'
_cell_length_a 4.891
_cell_length_b 4.891
_cell_length_c 4.891
_cell_angle_alpha 60.00
_cell_angle_beta 60.00
_cell_angle_gamma 60.00
loop_
_atom_site_label
_atom_site_fract_x
_atom_site_fract_y
_atom_site_fract_z
_atom_site_occupancy
Pu1 0.000 0.000 0.000 1
Np1 0.500 0.500 0.500 1
Pd1 0.250 0.250 0.250 1
Rh1 0.750 0.750 0.750 1
# Energy (eV per atom): -10.22
# Mass density (Mg/m³): 13.86

4.
# PBE Pr2TlCu3, optimized geometry
data_Pr2TlCu3
_symmetry_space_group_name_H-M 'P 1'
_symmetry_Int_Tables_number 1
_symmetry_space_group_name_Hall 'P 1'
_cell_length_a 9.136
_cell_length_b 8.788
_cell_length_c 5.902
_cell_angle_alpha 73.99
_cell_angle_beta 67.62
_cell_angle_gamma 38.39
loop_
_atom_site_label
_atom_site_fract_x
_atom_site_fract_y
_atom_site_fract_z
_atom_site_occupancy
Pr1 0.236 0.764 0.764 1
Pr2 0.250 0.250 0.250 1
Pr3 0.750 0.750 0.750 1
Pr4 0.764 0.236 0.236 1
Tl1 0.336 0.336 0.664 1
Tl2 0.664 0.664 0.336 1
Cu1 0.161 0.680 0.320 1
Cu2 0.162 0.162 0.838 1
Cu3 0.320 0.839 0.161 1
Cu4 0.680 0.161 0.839 1
Cu5 0.838 0.838 0.162 1
Cu6 0.839 0.320 0.680 1
# Energy (eV per atom): -4.20
# Mass density (Mg/m³): 8.27

5.
# PBE HIrOs, optimized geometry
data_HIrOs
_symmetry_space_group_name_H-M 'P 1'
_symmetry_Int_Tables_number 1
_symmetry_space_group_name_Hall 'P 1'
_cell_length_a 2.740
_cell_length_b 5.077
_cell_length_c 5.229
_cell_angle_alpha 75.22
_cell_angle_beta 74.82
_cell_angle_gamma 74.36
loop_
_atom_site_label
_atom_site_fract_x
_atom_site_fract_y
_atom_site_fract_z
_atom_site_occupancy
H1 0.000 0.000 0.000 1
H2 0.324 0.067 0.290 1
Ir1 0.311 0.790 0.583 1
Ir2 0.389 0.295 0.925 1
Os1 0.087 0.370 0.451 1
Os2 0.610 0.715 0.064 1
# Energy above the lowest structure with this stoichiometry (eV/atom): 0.026
# Energy (eV per atom): -7.55
# Mass density (Mg/m³): 19.22

6.
# PBE Li2MnN2, optimized geometry
data_Li2MnN2
_symmetry_space_group_name_H-M 'P 1'
_symmetry_Int_Tables_number 1
_symmetry_space_group_name_Hall 'P 1'
_cell_length_a 5.091
_cell_length_b 5.091
_cell_length_c 3.150
_cell_angle_alpha 90.00
_cell_angle_beta 90.00
_cell_angle_gamma 90.00
loop_
_atom_site_label
_atom_site_fract_x
_atom_site_fract_y
_atom_site_fract_z
_atom_site_occupancy
Li1 0.144 0.356 0.000 1
Li2 0.356 0.856 0.000 1
Li3 0.644 0.144 0.000 1
Li4 0.856 0.644 0.000 1
Mn1 0.000 0.000 0.500 1
Mn2 0.500 0.500 0.500 1
N1 0.173 0.673 0.500 1
N2 0.327 0.173 0.500 1
N3 0.673 0.827 0.500 1
N4 0.827 0.327 0.500 1
# Energy above the lowest structure with this stoichiometry (eV/atom): 0.221
# Uncorrected formation energy (eV/atom): -0.200
# Energy (eV per atom): -6.13
# Mass density (Mg/m³): 3.94

7.
# PBE TeAu3, optimized geometry
data_TeAu3
_symmetry_space_group_name_H-M 'P 1'
_symmetry_Int_Tables_number 1
_symmetry_space_group_name_Hall 'P 1'
_cell_length_a 3.234
_cell_length_b 3.234
_cell_length_c 9.251
_cell_angle_alpha 90.00
_cell_angle_beta 90.00
_cell_angle_gamma 120.00
loop_
_atom_site_label
_atom_site_fract_x
_atom_site_fract_y
_atom_site_fract_z
_atom_site_occupancy
Te1 0.000 0.000 0.000 1
Au1 0.000 0.000 0.500 1
Au2 0.333 0.667 0.267 1
Au3 0.333 0.667 0.733 1
# Uncorrected formation energy (eV/atom): 0.220
# Energy (eV per atom): -3.02
# Mass density (Mg/m³): 14.23

8.
# PBE TaP2Pt, optimized geometry
data_TaP2Pt
_symmetry_space_group_name_H-M 'P 1'
_symmetry_Int_Tables_number 1
_symmetry_space_group_name_Hall 'P 1'
_cell_length_a 4.461
_cell_length_b 4.461
_cell_length_c 4.461
_cell_angle_alpha 60.00
_cell_angle_beta 60.00
_cell_angle_gamma 60.00
loop_
_atom_site_label
_atom_site_fract_x
_atom_site_fract_y
_atom_site_fract_z
_atom_site_occupancy
Ta1 0.000 0.000 0.000 1
P1 0.250 0.250 0.250 1
P2 0.500 0.500 0.500 1
Pt1 0.750 0.750 0.750 1
# Energy above the lowest structure with this stoichiometry (eV/atom): 0.690
# Energy (eV per atom): -7.02
# Mass density (Mg/m³): 11.58